Record 1
# PBE-GGA DyPuSe2, relaxed
data_DyPuSe2
_chemical_formula_sum 'Dy3 Pu3 Se6'
_space_group_name_H-M_alt 'R -3 m'
_space_group_IT_number 166
_space_group_name_Hall '-R 3 2"'
_cell_length_a 4.0854
_cell_length_b 4.0854
_cell_length_c 20.3730
_cell_angle_alpha 90.00
_cell_angle_beta 90.00
_cell_angle_gamma 120.00
loop_
_atom_site_label
_atom_site_fract_x
_atom_site_fract_y
_atom_site_fract_z
Dy1 0.0000 0.0000 0.0000
Pu1 0.0000 0.0000 0.5000
Se1 0.0000 0.0000 0.2519
# M_tot   5.9 μB per formula unit
# Uncorrected formation energy   -6.68 eV per formula unit

=====

Record 2
# PBE-GGA LiHo2Si3Pt4, relaxed
data_LiHo2Si3Pt4
_chemical_formula_sum 'Li1 Ho2 Si3 Pt4'
_space_group_name_H-M_alt 'P -4 m 2'
_space_group_IT_number 115
_space_group_name_Hall 'P -4 -2'
_cell_length_a 4.1567
_cell_length_b 4.1567
_cell_length_c 9.9556
_cell_angle_alpha 90.00
_cell_angle_beta 90.00
_cell_angle_gamma 90.00
loop_
_atom_site_label
_atom_site_fract_x
_atom_site_fract_y
_atom_site_fract_z
Li1 0.0000 0.0000 0.0000
Ho1 0.0000 0.5000 0.7545
Si1 0.0000 0.5000 0.3644
Si2 0.5000 0.5000 0.0000
Pt1 0.0000 0.0000 0.5000
Pt2 0.0000 0.5000 0.1301
Pt3 0.5000 0.5000 0.5000
# M_tot   0.0 μB per formula unit
# Uncorrected formation energy   -10.62 eV per formula unit

=====

Record 3
# PBE-GGA NaTcPb3, relaxed
data_NaTcPb3
_chemical_formula_sum 'Na1 Tc1 Pb3'
_space_group_name_H-M_alt 'P m -3 m'
_space_group_IT_number 221
_space_group_name_Hall '-P 4 2 3'
_cell_length_a 5.4062
_cell_length_b 5.4062
_cell_length_c 5.4062
_cell_angle_alpha 90.00
_cell_angle_beta 90.00
_cell_angle_gamma 90.00
loop_
_atom_site_label
_atom_site_fract_x
_atom_site_fract_y
_atom_site_fract_z
Na1 0.0000 0.0000 0.0000
Tc1 0.5000 0.5000 0.5000
Pb1 0.0000 0.0000 0.5000
# M_tot   4.0 μB per formula unit
# ΔE_f   1.28 eV/atom

=====

Record 4
# PBE-GGA Pm3Sm6Er2Pu, relaxed
data_Pm3Sm6Er2Pu
_chemical_formula_sum 'Pm6 Sm12 Er4 Pu2'
_space_group_name_H-M_alt 'C 1 2/m 1'
_space_group_IT_number 12
_space_group_name_Hall '-C 2y'
_cell_length_a 6.2342
_cell_length_b 10.8041
_cell_length_c 11.8801
_cell_angle_alpha 90.00
_cell_angle_beta 100.14
_cell_angle_gamma 90.00
loop_
_atom_site_label
_atom_site_fract_x
_atom_site_fract_y
_atom_site_fract_z
Pm1 0.0000 0.0000 0.0000
Pm2 0.0000 0.3333 0.0000
Sm1 0.2462 0.3353 0.7445
Sm2 0.2480 0.5000 0.2557
Er1 0.0000 0.1665 0.5000
Pu1 0.0000 0.5000 0.5000
# M_tot   6.8 μB per formula unit
# ΔE_f   0.05 eV/atom

=====

Record 5
# PBE-GGA Pu3AsO3, relaxed
data_Pu3AsO3
_chemical_formula_sum 'Pu6 As2 O6'
_space_group_name_H-M_alt 'P 63/m'
_space_group_IT_number 176
_space_group_name_Hall '-P 6c'
_cell_length_a 9.0684
_cell_length_b 9.0684
_cell_length_c 3.9137
_cell_angle_alpha 90.00
_cell_angle_beta 90.00
_cell_angle_gamma 120.00
loop_
_atom_site_label
_atom_site_fract_x
_atom_site_fract_y
_atom_site_fract_z
Pu1 0.0975 0.4053 0.2500
As1 0.3333 0.6667 0.7500
O1 0.0371 0.7119 0.2500
# M_tot   15.0 μB per formula unit
# Uncorrected formation energy   -16.61 eV per formula unit

=====

Record 6
# PBE-GGA KNiSb2, relaxed
data_KNiSb2
_chemical_formula_sum 'K3 Ni3 Sb6'
_space_group_name_H-M_alt 'R 3 m'
_space_group_IT_number 160
_space_group_name_Hall 'R 3 -2"'
_cell_length_a 4.0758
_cell_length_b 4.0758
_cell_length_c 22.8481
_cell_angle_alpha 90.00
_cell_angle_beta 90.00
_cell_angle_gamma 120.00
loop_
_atom_site_label
_atom_site_fract_x
_atom_site_fract_y
_atom_site_fract_z
K1 0.0000 0.0000 0.0000
Ni1 0.0000 0.0000 0.1692
Sb1 0.0000 0.0000 0.5505
Sb2 0.0000 0.0000 0.7865
# M_tot   0.0 μB per formula unit
# Uncorrected formation energy   -1.17 eV per formula unit